Record 1
Here is an optimized crystal structure of AlFe4 from the Alexandria database. Energies are from PBE.

Computed properties:
Uncorrected energy ... -6.326 eV per atom
Formation energy from the elements ... 115.06 kJ/mol of atoms
Calculated volume ... 15.7 A^3/atom
SG ... No. 221
Energy above the most stable polymorph in this dataset ... 626.8 kJ/mol of formula units

Lattice parameters (Å, degrees): 4.2791 4.2791 4.2791 90.00 90.00 90.00
Last column: magnetic moment on the atom in μB.
Atoms (fractional coordinates):
1 Al 0.5000 0.5000 0.5000  -0.10
2 Fe 0.0000 0.0000 0.0000  3.23
3 Fe 0.5000 0.0000 0.5000  2.42
4 Fe 0.0000 0.5000 0.5000  2.42
5 Fe 0.5000 0.5000 0.0000  2.42

=====

Record 2
Here is an optimized crystal structure of DyCuGe from the Alexandria database. Energies are from PBE.

Computed properties:
Uncorrected energy ... -5.131 eV per atom
Formation energy from the elements ... -66.80 kJ/mol of atoms
Calculated volume ... 19.0 A^3/atom
SG ... No. 186

Lattice parameters (Å, degrees): 4.2659 4.2659 7.2428 90.00 90.00 120.00
Atoms (fractional coordinates):
1 Ge 0.3333 0.6667 0.9868
2 Ge 0.6667 0.3333 0.4868
3 Cu 0.3333 0.6667 0.5427
4 Cu 0.6667 0.3333 0.0427
5 Dy 0.0000 0.0000 0.7609
6 Dy 0.0000 0.0000 0.2609

=====

Record 3
Here is an optimized crystal structure of CeScTi4 from the Alexandria database. Energies are from PBE.

Computed properties:
Uncorrected energy ... -7.055 eV per atom
Formation energy from the elements ... 24.40 kJ/mol of atoms
Calculated volume ... 21.0 A^3/atom
SG ... No. 216

Lattice parameters (Å, degrees): 5.6232 5.6232 5.6232 60.00 60.00 60.00
Last column: magnetic moment on the atom in μB.
Atoms (fractional coordinates):
1 Sc 0.0000 0.0000 0.0000  0.19
2 Ce 0.2500 0.2500 0.2500  0.50
3 Ti 0.6248 0.6248 0.1256  0.70
4 Ti 0.6248 0.1256 0.6248  0.70
5 Ti 0.6248 0.6248 0.6248  0.70
6 Ti 0.1256 0.6248 0.6248  0.70

=====

Record 4
Here is an optimized crystal structure of ThTePt from the Alexandria database. Energies are from PBE.

Computed properties:
Uncorrected energy ... -6.640 eV per atom
Energy relative to the elements, uncorrected ... -1.106 eV per atom
Calculated volume ... 27.1 A^3/atom
SG ... No. 156
Energy above the most stable polymorph in this dataset ... 26.5 kJ/mol of formula units

Lattice parameters (Å, degrees): 4.7586 4.4427 4.4427 120.00 90.00 90.00
Atoms (fractional coordinates):
1 Te 0.2800 0.3333 0.6667
2 Pt 0.9956 0.0000 0.0000
3 Th 0.7244 0.6667 0.3333

=====

Record 5
Here is an optimized crystal structure of Rb2V2B from the Alexandria database. Energies are from PBE.

Computed properties:
Uncorrected energy ... -3.925 eV per atom
Formation energy from the elements ... 139.43 kJ/mol of atoms
Calculated volume ... 26.0 A^3/atom
SG ... No. 139

Lattice parameters (Å, degrees): 3.3553 3.3553 11.7948 81.82 81.82 90.00
Last column: magnetic moment on the atom in μB.
Atoms (fractional coordinates):
1 B 0.0000 0.0000 0.0000  0.41
2 Rb 0.4040 0.4040 0.1920  0.05
3 Rb 0.5960 0.5960 0.8080  0.05
4 V 0.7500 0.2500 0.5000  0.05
5 V 0.2500 0.7500 0.5000  0.05

=====

Record 6
Here is an optimized crystal structure of CoSbTe2 from the Alexandria database. Energies are from PBE.

Computed properties:
Uncorrected energy ... -4.093 eV per atom
Energy relative to the elements, uncorrected ... 0.285 eV per atom
Calculated volume ... 23.5 A^3/atom
SG ... No. 123

Lattice parameters (Å, degrees): 3.1649 3.1664 9.3958 90.00 90.00 90.00
Atoms (fractional coordinates):
1 Co 0.5000 0.5000 0.2500
2 Sb 0.5000 0.5000 0.7500
3 Te 0.0000 0.0000 0.0775
4 Te 0.0000 0.0000 0.4225

=====

Record 7
Here is an optimized crystal structure of Ca3Cl from the Alexandria database. Energies are from PBE.

Computed properties:
Uncorrected energy ... -2.347 eV per atom
Energy relative to the elements, uncorrected ... -0.384 eV per atom
Calculated volume ... 36.7 A^3/atom
SG ... No. 139
Energy above the most stable polymorph in this dataset ... 154.5 kJ/mol of formula units

Lattice parameters (Å, degrees): 7.1779 7.1779 7.1779 140.78 140.78 56.67
Atoms (fractional coordinates):
1 Ca 0.2500 0.7500 0.5000
2 Ca 0.5000 0.5000 0.0000
3 Ca 0.7500 0.2500 0.5000
4 Cl 0.0000 0.0000 0.0000

=====

Record 8
Here is an optimized crystal structure of SmPaCo3 from the Alexandria database. Energies are from PBE.

Computed properties:
Uncorrected energy ... -7.364 eV per atom
Formation energy from the elements ... -24.81 kJ/mol of atoms
Calculated volume ... 17.9 A^3/atom
SG ... No. 63

Lattice parameters (Å, degrees): 4.0908 3.8901 11.4094 99.82 90.00 90.03
Last column: magnetic moment on the atom in μB.
Atoms (fractional coordinates):
1 Sm 0.2500 0.0713 0.1425  -0.03
2 Sm 0.7500 0.9287 0.8575  -0.03
3 Pa 0.2500 0.7971 0.5943  0.00
4 Pa 0.7500 0.2029 0.4057  0.00
5 Co 0.2500 0.3716 0.7432  -0.04
6 Co 0.7500 0.6284 0.2568  -0.04
7 Co 0.2500 0.4748 0.9497  0.29
8 Co 0.7500 0.5252 0.0503  0.29
9 Co 0.7500 0.3103 0.6206  -0.01
10 Co 0.2500 0.6897 0.3794  -0.01

=====

Record 9
Here is an optimized crystal structure of Y2Zn4Ga3Pd from the Alexandria database. Energies are from PBE.

Computed properties:
Uncorrected energy ... -3.703 eV per atom
Formation energy from the elements ... -45.66 kJ/mol of atoms
Calculated volume ... 18.4 A^3/atom
SG ... No. 115

Lattice parameters (Å, degrees): 4.1411 4.1411 10.7380 90.00 90.00 90.00
Atoms (fractional coordinates):
1 Y 0.5000 0.0000 0.2476
2 Y 0.0000 0.5000 0.7524
3 Zn 0.5000 0.5000 0.0000
4 Zn 0.0000 0.0000 0.0000
5 Zn 0.5000 0.0000 0.6384
6 Zn 0.0000 0.5000 0.3616
7 Ga 0.0000 0.0000 0.5000
8 Ga 0.5000 0.0000 0.8625
9 Ga 0.0000 0.5000 0.1375
10 Pd 0.5000 0.5000 0.5000

=====

Record 10
Here is an optimized crystal structure of LaBeRh3 from the Alexandria database. Energies are from PBE.

Computed properties:
Uncorrected energy ... -4.737 eV per atom
Formation energy from the elements ... 135.48 kJ/mol of atoms
Calculated volume ... 23.3 A^3/atom
SG ... No. 221
Energy above the most stable polymorph in this dataset ... 935.5 kJ/mol of formula units

Lattice parameters (Å, degrees): 4.8845 4.8845 4.8845 90.00 90.00 90.00
Atoms (fractional coordinates):
1 Be 0.5000 0.5000 0.5000
2 Rh 0.0000 0.5000 0.0000
3 Rh 0.0000 0.0000 0.5000
4 Rh 0.5000 0.0000 0.0000
5 La 0.0000 0.0000 0.0000

=====

Record 11
Here is an optimized crystal structure of CsGeSe2 from the Alexandria database. Energies are from PBE.

Computed properties:
Uncorrected energy ... -3.816 eV per atom
Energy relative to the elements, uncorrected ... -0.706 eV per atom
Calculated volume ... 36.8 A^3/atom
SG ... No. 1

Lattice parameters (Å, degrees): 7.6315 7.1857 6.9241 120.85 70.67 86.13
Atoms (fractional coordinates):
1 Cs 0.4140 0.3155 0.1146
2 Cs 0.0880 0.0016 0.4840
3 Ge 0.6646 0.7590 0.1517
4 Ge 0.6924 0.5279 0.5331
5 Se 0.8945 0.4846 0.1495
6 Se 0.3799 0.7707 0.7435
7 Se 0.6189 0.1752 0.4739
8 Se 0.9101 0.6392 0.7327